Record 1
A relaxed structure of HfCoSi2Ni, computed with PBE-GGA.

Cell lengths 5.498, 5.498, 5.498 Å; angles 140.40, 140.40, 57.25 degrees
Site moments in Bohr magnetons follow the coordinates.
Atoms (fractional coordinates):
Hf  0.250  0.750  0.500  0.02
Co  0.000  0.000  0.000  0.39
Ni  0.500  0.500  0.000  0.15
Si  0.869  0.369  0.500  0.00
Si  0.631  0.131  0.500  0.00

Calculated values
- Volume: 66.9 Å³/cell
- M_tot: 0.6 μB per cell
- Final energy: -37.184 eV per formula unit



Record 2
A relaxed structure of HfTlCoNi, computed with PBE-GGA.

Cell lengths 4.462, 4.462, 4.462 Å; angles 60.00, 60.00, 60.00 degrees
Site moments in Bohr magnetons follow the coordinates.
Atoms (fractional coordinates):
Hf  0.500  0.500  0.500  0.01
Tl  0.000  0.000  0.000  0.00
Co  0.750  0.750  0.750  -0.12
Ni  0.250  0.250  0.250  -0.03

Calculated values
- Volume: 62.8 Å³/cell
- M_tot: 0.1 μB per cell
- ΔE to the lowest computed polymorph: 0.000 eV per atom
- Final energy: -25.346 eV per formula unit



Record 3
A relaxed structure of HfTlCoNi, computed with PBE-GGA.

Cell lengths 4.536, 4.536, 4.536 Å; angles 60.00, 60.00, 60.00 degrees
Atoms (fractional coordinates):
Hf  0.250  0.250  0.250
Co  0.500  0.500  0.500
Tl  0.000  0.000  0.000
Ni  0.750  0.750  0.750

Calculated values
- Volume: 66.0 Å³/cell
- M_tot: 1.4 μB per cell
- ΔE to the lowest computed polymorph: 0.333 eV per atom
- Final energy: -24.013 eV per formula unit